LiTl2P2 | PBE | relaxed

* E_form: -0.043 eV per atom
* SG: No. 127
* raw total energy: -3.54 eV per atom
* energy above the most stable polymorph in this dataset: 0.00 eV/f.u.
* V: 22.975 Å³ per atom
* D(E_F): 4.2 states/eV/cell

Lattice parameters (Å, degrees): 6.697 6.697 5.123 90.00 90.00 90.00
Sites, in units of the cell vectors:
P  0.388  0.888  0.000
P  0.888  0.612  0.000
P  0.612  0.112  0.000
P  0.112  0.388  0.000
Tl  0.203  0.703  0.500
Tl  0.703  0.797  0.500
Tl  0.797  0.297  0.500
Tl  0.297  0.203  0.500
Li  0.000  0.000  0.000
Li  0.500  0.500  0.000